[1]
VASP calculation (GGA-PBE) on an optimized crystal structure of CeLuPa4.

Lattice parameters (Å, degrees): 6.0888 6.0888 6.0888 60.00 60.00 60.00
Last column: nearest neighbours and their distance in Å.
Positions (direct):
Lu1 0.0000 0.0000 0.0000  12 Pa 3.57, 4 Ce 3.73
Pa1 0.6256 0.6256 0.6256  6 Pa 3.03-3.06
Pa2 0.6256 0.1232 0.6256  6 Pa 3.03-3.06
Pa3 0.1232 0.6256 0.6256  6 Pa 3.03-3.06
Ce1 0.2500 0.2500 0.2500  12 Pa 3.57, 4 Lu 3.73
Pa4 0.6256 0.6256 0.1232  6 Pa 3.03-3.06

Values from the calculation:
- Space group: F-43m, No. 216
- Calculated formation energy: 0.20 eV/atom
- Calculated total energy: -7.870 eV/atom
- Density of states at the Fermi level: 2.660 states/eV per atom

[2]
VASP calculation (GGA-PBE) on an optimized crystal structure of InAg2AsCl.

Lattice parameters (Å, degrees): 4.9634 5.5957 4.9634 90.00 90.00 90.00
Last column: nearest neighbours and their distance in Å.
Positions (direct):
Cl1 0.5000 0.5000 0.5000  4 In 3.51, 8 Ag 3.74
In1 0.0000 0.5000 0.0000  2 As 2.80
As1 0.0000 0.0000 0.0000  4 Ag 2.48
Ag1 0.0000 0.0000 0.5000  2 As 2.48
Ag2 0.5000 0.0000 0.0000  2 As 2.48

Values from the calculation:
- Uncorrected formation energy: -43 kJ/mol of formula units
- Space group: P4/mmm, No. 123
- Calculated total energy: -3.076 eV/atom
- Density of states at the Fermi level: 0.082 states/eV per atom